1.
# CaZrAu4 (PBE-GGA, optimized geometry)
# - Crystal system: cubic
# - ΔE_f: -0.293 eV per atom
# - Distance to the lowest polymorph of the same formula: 1.83 eV/f.u.
# - Theoretical density: 12.277 Mg/m³
# - Calculated volume: 497 Å³ per cell
# - M_tot: 0.00 μB/cell
# - D(E_F): 22.13 states/eV per cell
data_CaZrAu4
_cell_length_a 7.9227
_cell_length_b 7.9227
_cell_length_c 7.9227
_cell_angle_alpha 90.00
_cell_angle_beta 90.00
_cell_angle_gamma 90.00
_space_group_name_H-M_alt 'F -4 3 m'
_space_group_IT_number 216
_space_group_name_Hall 'F -4 2 3'
loop_
_atom_site_label
_atom_site_type_symbol
_atom_site_fract_x
_atom_site_fract_y
_atom_site_fract_z
_atom_site_occupancy
Ca1 Ca 0.0000 0.0000 0.0000 1
Zr1 Zr 0.2500 0.2500 0.7500 1
Au1 Au 0.1249 0.1249 0.3751 1

2.
# AlV2Ga (PBE-GGA, optimized geometry)
# - Crystal system: tetragonal
# - ΔE_f: 0.237 eV per atom
# - Theoretical density: 5.378 Mg/m³
# - Calculated volume: 245 Å³ per cell
# - M_tot: 0.00 μB/cell
# - D(E_F): 9.43 states/eV per cell
data_AlV2Ga
_cell_length_a 6.8519
_cell_length_b 6.8519
_cell_length_c 5.2244
_cell_angle_alpha 90.00
_cell_angle_beta 90.00
_cell_angle_gamma 90.00
_space_group_name_H-M_alt 'I -4 2 d'
_space_group_IT_number 122
_space_group_name_Hall 'I -4 2bw'
loop_
_atom_site_label
_atom_site_type_symbol
_atom_site_fract_x
_atom_site_fract_y
_atom_site_fract_z
_atom_site_occupancy
Al1 Al 0.0000 0.0000 0.0000 1
V1 V 0.2461 0.2500 0.6250 1
Ga1 Ga 0.0000 0.0000 0.5000 1

3.
# ScTeAu2C (PBE-GGA, optimized geometry)
# - Crystal system: tetragonal
# - Theoretical density: 9.181 Mg/m³
# - Calculated volume: 105 Å³ per cell
# - M_tot: 0.00 μB/cell
# - D(E_F): 2.57 states/eV per cell
# - E_form (uncorrected): 1.77 eV per formula unit
data_ScTeAu2C
_cell_length_a 4.1796
_cell_length_b 4.1796
_cell_length_c 5.9896
_cell_angle_alpha 90.00
_cell_angle_beta 90.00
_cell_angle_gamma 90.00
_space_group_name_H-M_alt 'P 4/m m m'
_space_group_IT_number 123
_space_group_name_Hall '-P 4 2'
loop_
_atom_site_label
_atom_site_type_symbol
_atom_site_fract_x
_atom_site_fract_y
_atom_site_fract_z
_atom_site_occupancy
Sc1 Sc 0.0000 0.0000 0.0000 1
Te1 Te 0.5000 0.5000 0.0000 1
Au1 Au 0.0000 0.5000 0.5000 1
C1 C 0.5000 0.5000 0.5000 1

4.
# AlInOs2 (PBE-GGA, optimized geometry)
# - Crystal system: monoclinic
# - ΔE_f: 0.190 eV per atom
# - Distance to the lowest polymorph of the same formula: 0.34 eV/f.u.
# - Theoretical density: 13.621 Mg/m³
# - Calculated volume: 64 Å³ per cell
# - M_tot: 0.00 μB/cell
# - D(E_F): 2.00 states/eV per cell
data_AlInOs2
_cell_length_a 2.8956
_cell_length_b 3.9929
_cell_length_c 5.6328
_cell_angle_alpha 90.00
_cell_angle_beta 102.13
_cell_angle_gamma 90.00
_space_group_name_H-M_alt 'P 1 2/m 1'
_space_group_IT_number 10
_space_group_name_Hall '-P 2y'
loop_
_atom_site_label
_atom_site_type_symbol
_atom_site_fract_x
_atom_site_fract_y
_atom_site_fract_z
_atom_site_occupancy
Al1 Al 0.0000 0.0000 0.0000 1
In1 In 0.0000 0.0000 0.5000 1
Os1 Os 0.3720 0.5000 0.2178 1